DFT (PBEsol) results for crystalline TiSbI2O at its relaxed geometry.

Values from the calculation:
* uncorrected formation energy: 0.4262 eV per atom
* magnetic moment: 1.2 μB per cell
* D(E_F): 5.38 states/eV/cell
* V: 147.6 Å³ per cell
* total energy: -19.5 eV/f.u.

Cell lengths 5.258, 5.258, 5.337 Å; angles 90.00, 90.00, 90.00 degrees
Space group P4/mmm (No. 123)
Unique sites:
Ti 0.000 0.000 0.000 [1 per cell]
Sb 0.000 0.000 0.500 [1 per cell]
I 0.000 0.500 0.000 [2 per cell]
O 0.500 0.500 0.500 [1 per cell]